DFT (GGA-PBE) results for a geometry-optimized CuTcSnPt2 structure.

Magnetization = 2.84 μB/f.u.
ΔH_f (0 K) = 1.01 eV/atom
Mass density = 11.3 g cm⁻³

Structure (CIF):
```
data_CuTcSnPt2
_space_group_name_H-M_alt 'P 1'
_space_group_IT_number 1
_cell_length_a 4.635
_cell_length_b 4.635
_cell_length_c 4.595
_cell_angle_alpha 90.00
_cell_angle_beta 90.00
_cell_angle_gamma 90.00
loop_
_space_group_symop_operation_xyz
'x,y,z'
loop_
_atom_site_label
_atom_site_type_symbol
_atom_site_fract_x
_atom_site_fract_y
_atom_site_fract_z
_atom_site_occupancy
Cu1 Cu 0.000 0.000 0.000 1
Tc1 Tc 0.500 0.500 0.500 1
Sn1 Sn 0.000 0.000 0.500 1
Pt1 Pt 0.000 0.500 0.000 1
Pt2 Pt 0.500 0.000 0.000 1
```